(1)
GGA-PBE Sc8TcPd2, optimized geometry; density = 4.845 g/cm³; energy of formation from the pure elements = -0.41 eV per atom; symmetry = C2/m, No. 12; energy above the lowest structure with this stoichiometry = 0 meV per atom
1.0
-3.4596 3.0279 1.2749
-4.0033 -2.8276 -4.1478
1.1094 -5.1675 6.3557
Tc Pd Sc
1 2 8
Direct
0.5000 0.0000 0.0000
0.8154 0.3056 0.6309
0.1846 0.6944 0.3691
0.4049 0.5574 0.8097
0.6638 0.9596 0.3275
0.9720 0.2077 0.9441
0.8063 0.7086 0.6127
0.0280 0.7923 0.0559
0.3362 0.0404 0.6725
0.1937 0.2914 0.3873
0.5951 0.4426 0.1903

***

(2)
GGA-PBE ScTcTe2Pd, optimized geometry; density = 6.495 g/cm³; uncorrected energy = -5.2992 eV/atom; symmetry = P4/mmm, No. 123
1.0
-5.1477 -0.0906 0.6312
0.5888 -0.4624 4.7357
-0.0286 5.1620 0.5076
Te Pd Tc Sc
2 1 1 1
Direct
0.5000 0.0000 0.0000
0.0000 0.0000 0.5000
0.0000 0.5000 0.0000
0.0000 0.0000 0.0000
0.5000 0.5000 0.5000

***

(3)
GGA-PBE ThScTcPd, optimized geometry; density = 9.784 g/cm³; energy of formation from the pure elements = -0.47 eV per atom; symmetry = F-43m, No. 216
1.0
4.8706 0.0000 0.0000
2.4353 4.2181 0.0000
2.4353 1.4060 3.9768
Th Sc Tc Pd
1 1 1 1
Direct
0.5000 0.5000 0.5000
0.0000 0.0000 0.0000
0.2500 0.2500 0.2500
0.7500 0.7500 0.7500